8
Lattice="-0.730 -0.676 -3.983 -4.698 -4.782 1.673 -3.987 7.104 -0.474" Properties=species:S:1:pos:R:3 comment="La4HIrBr2 | the Alexandria database | GGA-PBE | optimized geometry" dos_at_fermi_per_ev_cell=7.5 final_energy_ev_per_atom=-5.3973 pbc="T T T"
La -2.312 -0.097 -1.675
La -7.104 1.744 -1.109
La -4.438 4.378 0.071
La -4.247 -2.056 1.128
H -2.714 -2.729 -1.155
Ir 0.000 0.000 0.000
Br -2.359 3.214 -2.228
Br -4.343 1.161 0.599


4
Lattice="-0.157 2.137 -1.861 -2.774 -0.497 -0.336 -1.893 5.882 6.916" Properties=species:S:1:pos:R:3 comment="LaIrW2 | the Alexandria database | GGA-PBE | optimized geometry" dos_at_fermi_per_ev_cell=4.1 relative_energy_mev_per_atom=167 formation_energy_ev_per_atom=0.3823 pbc="T T T"
Ir -1.939 2.290 0.630
La -2.885 5.232 4.088
W -0.083 0.258 0.304
W -0.863 2.683 3.154


5
Lattice="-1.475 -0.864 4.264 3.300 -3.156 0.503 2.835 3.225 1.634" Properties=species:S:1:pos:R:3 comment="CrCu3Rh | the Alexandria database | GGA-PBE | optimized geometry" dos_at_fermi_per_ev_cell=5.8 relative_energy_mev_per_atom=0 formation_energy_ev_per_atom=1.1616 pbc="T T T"
Cr 2.330 -0.397 3.200
Rh 0.000 0.000 0.000
Cu 1.650 -1.578 0.251
Cu 1.417 1.612 0.817
Cu -0.738 -0.432 2.132


4
Lattice="-0.946 3.636 -7.482 -3.395 2.420 -7.261 -2.976 4.879 -6.119" Properties=species:S:1:pos:R:3 comment="BeReOs2 | the Alexandria database | GGA-PBE | optimized geometry" dos_at_fermi_per_ev_cell=2.7 formation_energy_ev_per_atom=0.0812 pbc="T T T"
Re -1.829 2.734 -5.215
Os -0.040 0.060 -0.115
Os -3.619 5.407 -10.316
Be -5.488 8.201 -15.646


6
Lattice="4.471 0.000 2.510 1.595 4.365 2.396 0.004 0.016 5.229" Properties=species:S:1:pos:R:3 comment="ErNiPd | the Alexandria database | GGA-PBE | optimized geometry" dos_at_fermi_per_ev_cell=3.3 relative_energy_mev_per_atom=0 formation_energy_ev_per_atom=-0.6508 pbc="T T T"
Er 4.532 1.612 5.020
Er 1.538 2.769 5.115
Ni 0.000 0.000 0.000
Ni 2.235 0.000 1.255
Pd 3.033 2.183 2.453
Pd 2.238 0.008 3.870


14
Lattice="-5.029 3.083 -0.737 5.394 -8.762 2.897 -2.938 9.396 5.916" Properties=species:S:1:pos:R:3 comment="NpOF5 | the Alexandria database | GGA-PBE | optimized geometry" dos_at_fermi_per_ev_cell=5.8 final_energy_ev_per_atom=-6.6049 pbc="T T T"
Np 0.000 0.000 0.000
Np -1.469 4.698 2.958
O -1.927 3.285 1.940
O -0.646 0.432 6.136
F 0.232 -1.367 1.436
F -3.449 4.984 3.451
F -1.248 3.502 4.635
F 0.853 -4.219 3.418
F -0.636 3.512 7.618
F -1.937 0.205 0.457
F -3.427 7.936 4.657
F -1.326 0.215 3.441
F 0.876 -1.267 4.625
F -2.805 5.084 6.640


4
Lattice="-2.940 6.908 1.395 -5.723 4.729 1.791 -3.416 5.171 4.461" Properties=species:S:1:pos:R:3 comment="AlAg2Se | the Alexandria database | GGA-PBE | optimized geometry" dos_at_fermi_per_ev_cell=1.7 relative_energy_mev_per_atom=0 pbc="T T T"
Se -9.202 12.804 5.825
Ag -0.009 0.012 0.005
Ag -2.938 4.088 1.860
Al -5.971 8.309 3.780


24
Lattice="-3.290 -1.477 0.801 6.720 -8.979 11.043 -4.962 13.948 5.343" Properties=species:S:1:pos:R:3 comment="Pm9Pr11Tm4 | the Alexandria database | GGA-PBE | optimized geometry" dos_at_fermi_per_ev_cell=31.9 formation_energy_ev_per_atom=0.0544 pbc="T T T"
Pm 1.746 -4.054 8.214
Pm -3.277 7.546 8.972
Pm -3.641 6.519 5.585
Pm 2.110 -3.026 11.601
Pm -1.000 5.243 14.081
Pm -0.532 -1.751 3.105
Pm 0.737 1.835 14.928
Pm -2.268 1.658 2.258
Pm -0.766 1.746 8.593
Pr -0.741 8.004 11.717
Pr 2.499 -3.034 4.669
Pr 3.476 -0.273 13.774
Pr -1.718 5.242 2.611
Pr 2.396 -0.492 8.933
Pr -0.637 5.461 7.453
Pr 4.813 -5.236 10.112
Pr -3.055 10.205 6.273
Pr 0.000 0.000 0.000
Pr 1.246 3.522 11.612
Pr 0.512 1.448 4.773
Tm -1.674 4.868 10.618
Tm 0.143 -1.375 6.569
Tm 0.702 0.204 11.777
Tm -2.233 3.288 5.409


5
Lattice="-2.083 -0.907 4.481 4.559 -0.781 1.961 0.343 4.879 1.147" Properties=species:S:1:pos:R:3 comment="HfAg3Au | the Alexandria database | GGA-PBE | optimized geometry" dos_at_fermi_per_ev_cell=5.3 relative_energy_mev_per_atom=0 formation_energy_ev_per_atom=0.9934 pbc="T T T"
Hf 1.410 1.596 3.794
Au 0.000 0.000 0.000
Ag 2.280 -0.391 0.980
Ag 0.171 2.440 0.573
Ag -1.041 -0.453 2.241


4
Lattice="5.241 0.000 0.000 0.000 4.921 0.000 0.000 0.000 4.921" Properties=species:S:1:pos:R:3 comment="Eu2ThIn | the Alexandria database | GGA-PBE | optimized geometry" dos_at_fermi_per_ev_cell=4.9 relative_energy_mev_per_atom=9 formation_energy_ev_per_atom=-0.0888 pbc="T T T"
Eu 0.000 0.000 2.460
Eu 0.000 2.460 0.000
Th 2.620 0.000 0.000
In 2.620 2.460 2.460